A plane-wave DFT calculation with GGA+U was carried out for a relaxed W7O6F30 crystal.

```
data_W7O6F30
_chemical_formula_sum 'W21 O18 F90'
_symmetry_space_group_name_H-M 'R -3'
_symmetry_Int_Tables_number 148
_symmetry_space_group_name_Hall '-R 3'
_cell_length_a 9.3160
_cell_length_b 9.3160
_cell_length_c 28.7737
_cell_angle_alpha 90.00
_cell_angle_beta 90.00
_cell_angle_gamma 120.00
loop_
_atom_site_label
_atom_site_type_symbol
_atom_site_fract_x
_atom_site_fract_y
_atom_site_fract_z
W1 W 0.0000 0.0000 0.0000
W2 W 0.0074 0.3228 0.0811
O1 O 0.0414 0.8549 0.9612
F1 F 0.0664 0.5320 0.4444
F2 F 0.0713 0.5017 0.1221
F3 F 0.0770 0.8331 0.2923
F4 F 0.0993 0.2331 0.1223
F5 F 0.0996 0.8801 0.6159
```

The total energy comes out at -5.6837 eV/atom.